## CuI (PBE)

Data for crystalline CuI at its relaxed geometry.

a b c (Å): 8.782 12.091 8.477
angles (deg): 90.00 90.00 90.00
Element x y z (fractional)
Cu: 0.250 0.643 0.250
Cu: 0.000 0.893 0.000
Cu: 0.000 0.393 0.500
Cu: 0.000 0.607 0.500
Cu: 0.500 0.393 0.000
Cu: 0.750 0.857 0.750
Cu: 0.000 0.107 0.000
Cu: 0.750 0.143 0.250
Cu: 0.500 0.893 0.500
Cu: 0.750 0.643 0.750
Cu: 0.500 0.107 0.500
Cu: 0.750 0.357 0.250
Cu: 0.500 0.607 0.000
Cu: 0.250 0.357 0.750
Cu: 0.250 0.857 0.250
Cu: 0.250 0.143 0.750
I: 0.260 0.000 0.000
I: 0.260 0.500 0.500
I: 0.990 0.750 0.250
I: 0.760 0.500 0.000
I: 0.490 0.250 0.250
I: 0.760 0.000 0.500
I: 0.240 0.000 0.500
I: 0.010 0.750 0.750
I: 0.740 0.000 0.000
I: 0.510 0.250 0.750
I: 0.010 0.250 0.250
I: 0.490 0.750 0.750
I: 0.740 0.500 0.500
I: 0.990 0.250 0.750
I: 0.240 0.500 0.000
I: 0.510 0.750 0.250

## Properties
calculated total energy	-0.107	hartree per atom
M_tot	0.0000	μB/atom
SG	Fddd (70)
E_form (uncorrected)	-0.2	eV per formula unit